The following is a GGA-PBE calculation of a relaxed structure of VZnAg, from the Alexandria database.

Structure (CIF):
```
data_VZnAg
_chemical_formula_sum 'V8 Zn8 Ag8'
_cell_length_a 5.2991
_cell_length_b 6.8834
_cell_length_c 10.7413
_cell_angle_alpha 90.00
_cell_angle_beta 90.00
_cell_angle_gamma 90.00
_space_group_name_H-M_alt 'F m m m'
_space_group_IT_number 69
_space_group_name_Hall '-F 2 2'
loop_
_atom_site_label
_atom_site_type_symbol
_atom_site_fract_x
_atom_site_fract_y
_atom_site_fract_z
_atom_site_occupancy
V1 V 0.0000 0.1373 0.0000 1
Zn1 Zn 0.0000 0.0000 0.3895 1
Ag1 Ag 0.2500 0.2500 0.2500 1
```

Output
Energy relative to the elements = 320 meV/atom
Energy above the lowest structure with this stoichiometry = 171.0 meV per atom
Raw total energy = -4.094 eV per atom
Crystal system = orthorhombic

=====

The following is a GGA-PBE calculation of a relaxed structure of V3ZnAg, from the Alexandria database.

Structure (CIF):
```
data_V3ZnAg
_chemical_formula_sum 'V3 Zn1 Ag1'
_cell_length_a 4.4926
_cell_length_b 4.4926
_cell_length_c 4.4926
_cell_angle_alpha 90.00
_cell_angle_beta 90.00
_cell_angle_gamma 90.00
_space_group_name_H-M_alt 'P m -3 m'
_space_group_IT_number 221
_space_group_name_Hall '-P 4 2 3'
loop_
_atom_site_label
_atom_site_type_symbol
_atom_site_fract_x
_atom_site_fract_y
_atom_site_fract_z
_atom_site_occupancy
V1 V 0.0000 0.0000 0.5000 1
Zn1 Zn 0.0000 0.0000 0.0000 1
Ag1 Ag 0.5000 0.5000 0.5000 1
```

Output
Energy relative to the elements = 1331 meV/atom
Energy above the lowest structure with this stoichiometry = 0.0 meV per atom
Raw total energy = -4.966 eV per atom
Crystal system = cubic

=====

The following is a GGA-PBE calculation of a relaxed structure of VZn6Ag, from the Alexandria database.

Structure (CIF):
```
data_VZn6Ag
_chemical_formula_sum 'V1 Zn6 Ag1'
_cell_length_a 4.0322
_cell_length_b 4.0322
_cell_length_c 7.3021
_cell_angle_alpha 90.00
_cell_angle_beta 90.00
_cell_angle_gamma 90.00
_space_group_name_H-M_alt 'P 4/m m m'
_space_group_IT_number 123
_space_group_name_Hall '-P 4 2'
loop_
_atom_site_label
_atom_site_type_symbol
_atom_site_fract_x
_atom_site_fract_y
_atom_site_fract_z
_atom_site_occupancy
V1 V 0.0000 0.0000 0.0000 1
Zn1 Zn 0.0000 0.5000 0.2396 1
Zn2 Zn 0.5000 0.5000 0.0000 1
Zn3 Zn 0.5000 0.5000 0.5000 1
Ag1 Ag 0.0000 0.0000 0.5000 1
```

Output
Energy relative to the elements = 23 meV/atom
Raw total energy = -2.429 eV per atom
Crystal system = tetragonal

=====

The following is a GGA-PBE calculation of a relaxed structure of VZnAg, from the Alexandria database.

Structure (CIF):
```
data_VZnAg
_chemical_formula_sum 'V2 Zn2 Ag2'
_cell_length_a 2.7733
_cell_length_b 2.7733
_cell_length_c 11.8081
_cell_angle_alpha 90.00
_cell_angle_beta 90.00
_cell_angle_gamma 90.00
_space_group_name_H-M_alt 'I 4 m m'
_space_group_IT_number 107
_space_group_name_Hall 'I 4 -2'
loop_
_atom_site_label
_atom_site_type_symbol
_atom_site_fract_x
_atom_site_fract_y
_atom_site_fract_z
_atom_site_occupancy
V1 V 0.0000 0.0000 0.0000 1
Zn1 Zn 0.0000 0.0000 0.6524 1
Ag1 Ag 0.0000 0.0000 0.3234 1
```

Output
Energy relative to the elements = 149 meV/atom
Energy above the lowest structure with this stoichiometry = 0.0 meV per atom
Raw total energy = -4.265 eV per atom
Crystal system = tetragonal

=====

The following is a GGA-PBE calculation of a relaxed structure of ZrV2Ag, from the Alexandria database.

Structure (CIF):
```
data_ZrV2Ag
_chemical_formula_sum 'Zr4 V8 Ag4'
_cell_length_a 6.4337
_cell_length_b 6.4337
_cell_length_c 6.4337
_cell_angle_alpha 90.00
_cell_angle_beta 90.00
_cell_angle_gamma 90.00
_space_group_name_H-M_alt 'F m -3 m'
_space_group_IT_number 225
_space_group_name_Hall '-F 4 2 3'
loop_
_atom_site_label
_atom_site_type_symbol
_atom_site_fract_x
_atom_site_fract_y
_atom_site_fract_z
_atom_site_occupancy
Zr1 Zr 0.0000 0.0000 0.0000 1
V1 V 0.2500 0.2500 0.2500 1
Ag1 Ag 0.0000 0.0000 0.5000 1
```

Output
Energy relative to the elements = 434 meV/atom
Energy above the lowest structure with this stoichiometry = 0.0 meV per atom
Raw total energy = -6.975 eV per atom
Crystal system = cubic

=====

The following is a GGA-PBE calculation of a relaxed structure of Zr3VAg, from the Alexandria database.

Structure (CIF):
```
data_Zr3VAg
_chemical_formula_sum 'Zr3 V1 Ag1'
_cell_length_a 5.1280
_cell_length_b 5.1280
_cell_length_c 5.1280
_cell_angle_alpha 90.00
_cell_angle_beta 90.00
_cell_angle_gamma 90.00
_space_group_name_H-M_alt 'P m -3 m'
_space_group_IT_number 221
_space_group_name_Hall '-P 4 2 3'
loop_
_atom_site_label
_atom_site_type_symbol
_atom_site_fract_x
_atom_site_fract_y
_atom_site_fract_z
_atom_site_occupancy
Zr1 Zr 0.0000 0.0000 0.5000 1
V1 V 0.5000 0.5000 0.5000 1
Ag1 Ag 0.0000 0.0000 0.0000 1
```

Output
Energy relative to the elements = 1247 meV/atom
Energy above the lowest structure with this stoichiometry = 598.3 meV per atom
Raw total energy = -6.276 eV per atom
Crystal system = cubic

=====

The following is a GGA-PBE calculation of a relaxed structure of ZrV2Ag, from the Alexandria database.

Structure (CIF):
```
data_ZrV2Ag
_chemical_formula_sum 'Zr4 V8 Ag4'
_cell_length_a 3.8659
_cell_length_b 3.8659
_cell_length_c 19.4488
_cell_angle_alpha 90.00
_cell_angle_beta 90.00
_cell_angle_gamma 90.00
_space_group_name_H-M_alt 'I -4 2 d'
_space_group_IT_number 122
_space_group_name_Hall 'I -4 2bw'
loop_
_atom_site_label
_atom_site_type_symbol
_atom_site_fract_x
_atom_site_fract_y
_atom_site_fract_z
_atom_site_occupancy
Zr1 Zr 0.0000 0.0000 0.0000 1
V1 V 0.2381 0.2500 0.1250 1
Ag1 Ag 0.0000 0.0000 0.5000 1
```

Output
Energy relative to the elements = 677 meV/atom
Energy above the lowest structure with this stoichiometry = 242.9 meV per atom
Raw total energy = -6.732 eV per atom
Crystal system = tetragonal

=====

The following is a GGA-PBE calculation of a relaxed structure of Zr2VAg2, from the Alexandria database.

Structure (CIF):
```
data_Zr2VAg2
_chemical_formula_sum 'Zr4 V2 Ag4'
_cell_length_a 7.6372
_cell_length_b 7.6372
_cell_length_c 3.4923
_cell_angle_alpha 90.00
_cell_angle_beta 90.00
_cell_angle_gamma 90.00
_space_group_name_H-M_alt 'P 4/m b m'
_space_group_IT_number 127
_space_group_name_Hall '-P 4 2ab'
loop_
_atom_site_label
_atom_site_type_symbol
_atom_site_fract_x
_atom_site_fract_y
_atom_site_fract_z
_atom_site_occupancy
Zr1 Zr 0.1773 0.3227 0.0000 1
V1 V 0.0000 0.0000 0.5000 1
Ag1 Ag 0.1258 0.6258 0.5000 1
```

Output
Energy relative to the elements = 297 meV/atom
Raw total energy = -6.086 eV per atom
Crystal system = tetragonal